Entry 1:
Compound: K2ReNi
Source: Alexandria
Functional: GGA-PBE
Structure: optimized geometry

Summary:
**DOS at the Fermi energy**: 3.7 states/eV/f.u.
**Crystal system**: monoclinic

Lattice parameters (Å, degrees): 2.7258 5.7043 5.1037 90.00 94.93 90.00
Fractional coordinates of all 4 atoms:
K 0.2124 0.0000 0.2561
K 0.7876 0.0000 0.7439
Re 0.5000 0.5000 0.0000
Ni 0.0000 0.5000 0.5000


Entry 2:
Compound: Pa2FeGe4Ir3
Source: Alexandria
Functional: GGA-PBE
Structure: optimized geometry

Summary:
**DOS at the Fermi energy**: 8.5 states/eV/f.u.
**Crystal system**: tetragonal

Lattice parameters (Å, degrees): 4.1780 4.1780 10.0790 90.00 90.00 90.00
Fractional coordinates of all 10 atoms:
Pa 0.0000 0.5000 0.2385
Pa 0.5000 0.0000 0.7615
Fe 0.5000 0.5000 0.0000
Ge 0.0000 0.0000 0.5000
Ge 0.0000 0.5000 0.8733
Ge 0.5000 0.0000 0.1267
Ge 0.5000 0.5000 0.5000
Ir 0.0000 0.0000 0.0000
Ir 0.0000 0.5000 0.6336
Ir 0.5000 0.0000 0.3664


Entry 3:
Compound: Tb2Ho2Th3
Source: Alexandria
Functional: GGA-PBE
Structure: optimized geometry

Summary:
**DOS at the Fermi energy**: 10.5 states/eV/f.u.
**Crystal system**: monoclinic

Lattice parameters (Å, degrees): 17.4144 3.4686 8.4444 90.00 117.39 90.00
Fractional coordinates of all 14 atoms:
Tb 0.0689 0.0000 0.4043
Tb 0.4311 0.5000 0.5957
Tb 0.5689 0.5000 0.4043
Tb 0.9311 0.0000 0.5957
Ho 0.1479 0.5000 0.8351
Ho 0.3521 0.0000 0.1649
Ho 0.6479 0.0000 0.8351
Ho 0.8521 0.5000 0.1649
Th 0.0000 0.5000 0.0000
Th 0.2128 0.5000 0.2932
Th 0.2872 0.0000 0.7068
Th 0.5000 0.0000 0.0000
Th 0.7128 0.0000 0.2932
Th 0.7872 0.5000 0.7068


Entry 4:
Compound: PuIn3O6F2
Source: Alexandria
Functional: GGA-PBE
Structure: optimized geometry

Summary:
**Uncorrected formation energy**: -1985 meV/atom
**DOS at the Fermi energy**: 7.9 states/eV/f.u.
**Crystal system**: monoclinic

Lattice parameters (Å, degrees): 6.5510 6.5510 4.7027 94.17 94.17 59.08
Fractional coordinates of all 12 atoms:
Pu 0.0000 0.0000 0.0000
In 0.0000 0.5000 0.0000
In 0.5000 0.0000 0.0000
In 0.5000 0.5000 0.5000
O 0.1734 0.6734 0.2352
O 0.1751 0.1751 0.2135
O 0.3266 0.8266 0.7648
O 0.6734 0.1734 0.2352
O 0.8249 0.8249 0.7865
O 0.8266 0.3266 0.7648
F 0.3297 0.3297 0.7371
F 0.6703 0.6703 0.2629


Entry 5:
Compound: Ac2Dy3Tl4
Source: Alexandria
Functional: GGA-PBE
Structure: optimized geometry

Summary:
**DOS at the Fermi energy**: 8.6 states/eV/f.u.
**Crystal system**: orthorhombic

Lattice parameters (Å, degrees): 9.4076 9.4076 9.2370 90.00 90.00 134.41
Fractional coordinates of all 18 atoms:
Ac 0.1109 0.8891 0.9206
Ac 0.3891 0.6109 0.4206
Ac 0.6109 0.3891 0.5794
Ac 0.8891 0.1109 0.0794
Dy 0.0000 0.0000 0.5000
Dy 0.0339 0.4661 0.7500
Dy 0.4661 0.0339 0.2500
Dy 0.5000 0.5000 0.0000
Dy 0.5339 0.9661 0.7500
Dy 0.9661 0.5339 0.2500
Tl 0.1839 0.8161 0.5416
Tl 0.2106 0.2894 0.7500
Tl 0.2894 0.2106 0.2500
Tl 0.3161 0.6839 0.0416
Tl 0.6839 0.3161 0.9584
Tl 0.7106 0.7894 0.7500
Tl 0.7894 0.7106 0.2500
Tl 0.8161 0.1839 0.4584


Entry 6:
Compound: K2CdAg
Source: Alexandria
Functional: GGA-PBE
Structure: optimized geometry

Summary:
**DOS at the Fermi energy**: 1.7 states/eV/f.u.
**Crystal system**: monoclinic

Lattice parameters (Å, degrees): 5.0356 4.9022 6.8246 90.00 111.56 90.00
Fractional coordinates of all 4 atoms:
K 0.0000 0.0000 0.0000
K 0.2917 0.5000 0.5864
Cd 0.5885 0.5000 0.1779
Ag 0.7039 0.0000 0.4092


Entry 7:
Compound: RbOsIO2
Source: Alexandria
Functional: GGA-PBE
Structure: optimized geometry

Summary:
**Uncorrected formation energy**: 1693 meV/atom
**DOS at the Fermi energy**: 6.0 states/eV/f.u.
**Crystal system**: tetragonal

Lattice parameters (Å, degrees): 4.2891 4.2891 6.9238 90.00 90.00 90.00
Fractional coordinates of all 5 atoms:
Rb 0.0000 0.0000 0.0000
Os 0.5000 0.5000 0.5000
I 0.0000 0.0000 0.5000
O 0.0000 0.5000 0.0000
O 0.5000 0.0000 0.0000


Entry 8:
Compound: BN2Cl
Source: Alexandria
Functional: GGA-PBE
Structure: optimized geometry

Summary:
**Uncorrected formation energy**: 482 meV/atom
**Crystal system**: orthorhombic

Lattice parameters (Å, degrees): 7.7806 7.7806 5.3901 90.00 90.00 67.42
Fractional coordinates of all 16 atoms:
B 0.2046 0.7954 0.9529
B 0.2954 0.7046 0.4529
B 0.7046 0.2954 0.5471
B 0.7954 0.2046 0.0471
N 0.0779 0.9221 0.7776
N 0.2300 0.7700 0.6942
N 0.2700 0.7300 0.1942
N 0.4221 0.5779 0.2776
N 0.5779 0.4221 0.7224
N 0.7300 0.2700 0.8058
N 0.7700 0.2300 0.3058
N 0.9221 0.0779 0.2224
Cl 0.1669 0.1669 0.0000
Cl 0.3331 0.3331 0.5000
Cl 0.6669 0.6669 0.5000
Cl 0.8331 0.8331 0.0000


Entry 9:
Compound: HoPaInO6
Source: Alexandria
Functional: GGA-PBE
Structure: optimized geometry

Summary:
**Uncorrected formation energy**: -2665 meV/atom
**DOS at the Fermi energy**: 8.5 states/eV/f.u.
**Crystal system**: trigonal

Lattice parameters (Å, degrees): 5.6171 5.6171 4.7925 90.00 90.00 120.00
Fractional coordinates of all 9 atoms:
Ho 0.0000 0.0000 0.0000
Pa 0.6667 0.3333 0.5000
In 0.3333 0.6667 0.0000
O 0.3476 0.0061 0.2443
O 0.3476 0.3415 0.7557
O 0.6585 0.0061 0.7557
O 0.6585 0.6524 0.2443
O 0.9939 0.3415 0.2443
O 0.9939 0.6524 0.7557


Entry 10:
Compound: PmYOsRu
Source: Alexandria
Functional: GGA-PBE
Structure: optimized geometry

Summary:
**DOS at the Fermi energy**: 3.6 states/eV/f.u.
**Crystal system**: cubic

Lattice parameters (Å, degrees): 6.9023 6.9023 6.9023 90.00 90.00 90.00
Fractional coordinates of all 16 atoms:
Pm 0.0000 0.0000 0.0000
Pm 0.0000 0.5000 0.5000
Pm 0.5000 0.0000 0.5000
Pm 0.5000 0.5000 0.0000
Y 0.0000 0.0000 0.5000
Y 0.0000 0.5000 0.0000
Y 0.5000 0.0000 0.0000
Y 0.5000 0.5000 0.5000
Os 0.2500 0.2500 0.2500
Os 0.2500 0.7500 0.7500
Os 0.7500 0.2500 0.7500
Os 0.7500 0.7500 0.2500
Ru 0.2500 0.2500 0.7500
Ru 0.2500 0.7500 0.2500
Ru 0.7500 0.2500 0.2500
Ru 0.7500 0.7500 0.7500


Entry 11:
Compound: LiTlSi
Source: Alexandria
Functional: GGA-PBE
Structure: optimized geometry

Summary:
**Uncorrected formation energy**: -8 meV/atom
**DOS at the Fermi energy**: 0.8 states/eV/f.u.
**Crystal system**: triclinic

Lattice parameters (Å, degrees): 3.6819 4.7174 8.6455 81.87 89.87 67.08
Fractional coordinates of all 6 atoms:
Li 0.0000 0.0000 0.0000
Li 0.4486 0.1002 0.2296
Tl 0.6805 0.6449 0.7874
Tl 0.9117 0.1733 0.5119
Si 0.1701 0.6561 0.2944
Si 0.7207 0.5561 0.1339


Entry 12:
Compound: Cu2IrPt
Source: Alexandria
Functional: GGA-PBE
Structure: optimized geometry

Summary:
**DOS at the Fermi energy**: 6.2 states/eV/f.u.
**Crystal system**: orthorhombic

Lattice parameters (Å, degrees): 5.4849 7.3670 2.7070 90.00 90.00 90.00
Fractional coordinates of all 8 atoms:
Cu 0.2500 0.2500 0.0000
Cu 0.2500 0.7500 0.0000
Cu 0.7500 0.2500 0.0000
Cu 0.7500 0.7500 0.0000
Ir 0.0000 0.0000 0.5000
Ir 0.5000 0.5000 0.5000
Pt 0.0000 0.5000 0.5000
Pt 0.5000 0.0000 0.5000


Which electronic total energy belongs to each record? In order, -3.74, -7.85, -5.67, -6.66, -3.78, -1.53, -3.04, -5.81, -7.84, -7.98, -3.24, -5.69 eV/atom.